1.
This record from Alexandria describes a geometry-optimized H2PbI structure. The functional is PBE.

## Properties
**Total energy**: -2.7188 eV/atom
**Symmetry**: No. 15
**ΔE to the lowest computed polymorph**: 0 meV per atom

Lattice parameters (Å, degrees): 6.6952 5.8697 6.4952 63.14 77.34 60.99
With the nearest neighbours (Å) after each atom.
Sites, in units of the cell vectors:
H 0.4316 0.5468 0.3132  2 Pb 1.99-2.15
H 0.9316 0.8600 0.6868  2 Pb 1.99-2.15
H 0.0684 0.1400 0.3132  2 Pb 1.99-2.15
H 0.5684 0.4532 0.6868  2 Pb 1.99-2.15
I 0.7500 0.8945 0.2111  2 Pb 3.20, 6 H 3.39-3.45
I 0.2500 0.1055 0.7889  2 Pb 3.20, 6 H 3.39-3.45
Pb 0.7500 0.2837 0.4327  4 H 1.99-2.15
Pb 0.2500 0.7163 0.5673  4 H 1.99-2.15

***

2.
This record from Alexandria describes a geometry-optimized HfN structure. The functional is PBE.

## Properties
**Total energy**: -10.3919 eV/atom
**Symmetry**: No. 70
**Formation energy (no corrections)**: -1253 meV per atom

Lattice parameters (Å, degrees): 7.9959 9.7571 7.1257 90.00 90.00 90.00
With the nearest neighbours (Å) after each atom.
Sites, in units of the cell vectors:
N 0.2500 0.6107 0.2500  4 Hf 2.09-2.12
N 0.5000 0.8607 0.5000  4 Hf 2.09-2.12
N 0.0000 0.8607 0.0000  4 Hf 2.09-2.12
N 0.7500 0.8893 0.7500  4 Hf 2.09-2.12
N 0.2500 0.3893 0.7500  4 Hf 2.09-2.12
N 0.5000 0.3607 0.0000  4 Hf 2.09-2.12
N 0.2500 0.8893 0.2500  4 Hf 2.09-2.12
N 0.5000 0.6393 0.0000  4 Hf 2.09-2.12
N 0.7500 0.1107 0.2500  4 Hf 2.09-2.12
N 0.0000 0.1393 0.0000  4 Hf 2.09-2.12
N 0.5000 0.1393 0.5000  4 Hf 2.09-2.12
N 0.0000 0.6393 0.5000  4 Hf 2.09-2.12
N 0.0000 0.3607 0.5000  4 Hf 2.09-2.12
N 0.2500 0.1107 0.7500  4 Hf 2.09-2.12
N 0.7500 0.6107 0.7500  4 Hf 2.09-2.12
N 0.7500 0.3893 0.2500  4 Hf 2.09-2.12
Hf 0.1989 0.0000 0.0000  4 N 2.09-2.12
Hf 0.4489 0.2500 0.7500  4 N 2.09-2.12
Hf 0.0511 0.2500 0.7500  4 N 2.09-2.12
Hf 0.8011 0.5000 0.5000  4 N 2.09-2.12
Hf 0.5511 0.2500 0.2500  4 N 2.09-2.12
Hf 0.4489 0.7500 0.2500  4 N 2.09-2.12
Hf 0.9489 0.7500 0.7500  4 N 2.09-2.12
Hf 0.5511 0.7500 0.7500  4 N 2.09-2.12
Hf 0.3011 0.0000 0.5000  4 N 2.09-2.12
Hf 0.6989 0.5000 0.0000  4 N 2.09-2.12
Hf 0.0511 0.7500 0.2500  4 N 2.09-2.12
Hf 0.6989 0.0000 0.5000  4 N 2.09-2.12
Hf 0.8011 0.0000 0.0000  4 N 2.09-2.12
Hf 0.1989 0.5000 0.5000  4 N 2.09-2.12
Hf 0.3011 0.5000 0.0000  4 N 2.09-2.12
Hf 0.9489 0.2500 0.2500  4 N 2.09-2.12

***

3.
This record from Alexandria describes a geometry-optimized Nd2Si4Os3 structure. The functional is PBE.

## Properties
**Total energy**: -7.5959 eV/atom
**Symmetry**: No. 69
**ΔE to the lowest computed polymorph**: 155 meV per atom
**Formation energy (no corrections)**: -383 meV per atom

Lattice parameters (Å, degrees): 5.6533 5.6533 6.6319 102.10 102.10 120.55
With the nearest neighbours (Å) after each atom.
Sites, in units of the cell vectors:
Si 0.9739 0.3346 0.3085  3 Os 2.42-2.56, 1 Si 2.68
Si 0.0261 0.6654 0.6915  3 Os 2.42-2.56, 1 Si 2.68
Si 0.6654 0.0261 0.6915  3 Os 2.42-2.56, 1 Si 2.68
Si 0.3346 0.9739 0.3085  3 Os 2.42-2.56, 1 Si 2.68
Os 0.0000 0.5000 0.0000  4 Si 2.42
Os 0.5000 0.0000 0.0000  4 Si 2.42
Os 0.0000 0.0000 0.0000  4 Si 2.56, 4 Os 2.83
Nd 0.3647 0.3647 0.7293  8 Si 3.09-3.32, 6 Os 3.24-3.26, 1 Nd 3.25
Nd 0.6353 0.6353 0.2707  8 Si 3.09-3.32, 6 Os 3.24-3.26, 1 Nd 3.25

***

4.
This record from Alexandria describes a geometry-optimized Li3AlSi structure. The functional is PBE.

## Properties
**Total energy**: -2.3425 eV/atom
**Symmetry**: No. 221
**ΔE to the lowest computed polymorph**: 354 meV per atom
**Formation energy (no corrections)**: 639 meV per atom

Lattice parameters (Å, degrees): 4.7662 4.7662 4.7662 90.00 90.00 90.00
With the nearest neighbours (Å) after each atom.
Sites, in units of the cell vectors:
Al 0.0000 0.0000 0.0000  6 Li 2.38
Li 0.5000 0.0000 0.0000  2 Al 2.38
Li 0.0000 0.5000 0.0000  2 Al 2.38
Li 0.0000 0.0000 0.5000  2 Al 2.38
Si 0.5000 0.5000 0.5000  12 Li 3.37

***

5.
This record from Alexandria describes a geometry-optimized LiErScSe3 structure. The functional is PBE.

## Properties
**Total energy**: -5.4355 eV/atom
**Symmetry**: No. 11
**Formation energy (no corrections)**: -1559 meV per atom

Lattice parameters (Å, degrees): 3.8618 8.0077 8.6170 104.13 90.00 90.00
With the nearest neighbours (Å) after each atom.
Sites, in units of the cell vectors:
Er 0.7500 0.8082 0.7694  7 Se 2.85-2.97
Er 0.2500 0.1918 0.2306  7 Se 2.85-2.97
Li 0.7500 0.9087 0.4112  4 Se 2.46-2.54, 2 Li 2.67
Li 0.2500 0.0913 0.5888  4 Se 2.46-2.54, 2 Li 2.67
Se 0.7500 0.2360 0.4995  3 Li 2.47-2.54
Se 0.7500 0.4301 0.1697  3 Sc 2.70-2.74, 2 Er 2.85
Se 0.2500 0.5699 0.8303  3 Sc 2.70-2.74, 2 Er 2.85
Se 0.2500 0.0955 0.8754  1 Li 2.46
Se 0.2500 0.7640 0.5005  3 Li 2.47-2.54
Se 0.7500 0.9045 0.1246  1 Li 2.46
Sc 0.7500 0.3382 0.8421  6 Se 2.70-2.86
Sc 0.2500 0.6618 0.1579  6 Se 2.70-2.86

***

6.
This record from Alexandria describes a geometry-optimized TlIn3Hg7 structure. The functional is PBE.

## Properties
**Total energy**: -1.1151 eV/atom
**Symmetry**: No. 12
**ΔE to the lowest computed polymorph**: 16 meV per atom

Lattice parameters (Å, degrees): 5.9170 8.0477 8.0477 89.29 113.41 113.41
With the nearest neighbours (Å) after each atom.
Sites, in units of the cell vectors:
Hg 0.0000 0.5000 0.5000  2 Tl 2.96, 2 In 2.97
Hg 0.3234 0.5961 0.0536  3 In 3.08-3.33, 4 Hg 3.24-3.40
Hg 0.6766 0.4039 0.9464  3 In 3.08-3.33, 4 Hg 3.24-3.40
Hg 0.8089 0.8266 0.8266  1 Tl 3.11, 4 In 3.15-3.41, 3 Hg 3.30-3.39
Hg 0.1911 0.1734 0.1734  1 Tl 3.11, 4 In 3.15-3.41, 3 Hg 3.30-3.39
Hg 0.6766 0.9464 0.4039  3 In 3.08-3.33, 4 Hg 3.24-3.40
Hg 0.3234 0.0536 0.5961  3 In 3.08-3.33, 4 Hg 3.24-3.40
In 0.0000 0.2374 0.7626  5 Hg 2.97-3.15
In 0.0000 0.7626 0.2374  5 Hg 2.97-3.15
In 0.5000 0.0000 0.0000  8 Hg 3.08-3.41
Tl 0.5000 0.5000 0.5000  4 Hg 2.96-3.11

***

7.
This record from Alexandria describes a geometry-optimized CaCd2Br structure. The functional is PBE.

## Properties
**Total energy**: -1.7885 eV/atom
**Symmetry**: No. 216
**ΔE to the lowest computed polymorph**: 249 meV per atom
**Formation energy (no corrections)**: -412 meV per atom

Lattice parameters (Å, degrees): 5.4108 5.4108 5.4108 60.00 60.00 60.00
With the nearest neighbours (Å) after each atom.
Sites, in units of the cell vectors:
Cd 0.0000 0.0000 0.0000  4 Cd 3.31, 4 Ca 3.31
Cd 0.2500 0.2500 0.2500  4 Cd 3.31, 4 Br 3.31
Ca 0.7500 0.7500 0.7500  4 Br 3.31, 4 Cd 3.31
Br 0.5000 0.5000 0.5000  4 Ca 3.31, 4 Cd 3.31

***

8.
This record from Alexandria describes a geometry-optimized Sb2TeSe structure. The functional is PBE.

## Properties
**Total energy**: -3.7513 eV/atom
**Symmetry**: No. 6
**ΔE to the lowest computed polymorph**: 0 meV per atom
**Formation energy (no corrections)**: -34 meV per atom

Lattice parameters (Å, degrees): 4.3330 4.8336 6.7510 62.52 90.00 90.00
With the nearest neighbours (Å) after each atom.
Sites, in units of the cell vectors:
Sb 0.0000 0.0414 0.9922  1 Se 2.63
Sb 0.5000 0.2088 0.2819  1 Te 2.83, 2 Se 2.95
Te 0.5000 0.7100 0.8426  3 Sb 2.83-3.13
Se 0.0000 0.5398 0.3832  1 Sb 2.63

***

9.
This record from Alexandria describes a geometry-optimized Pa2Be4Ge3Mo structure. The functional is PBE.

## Properties
**Total energy**: -6.0307 eV/atom
**Symmetry**: No. 115

Lattice parameters (Å, degrees): 3.9224 3.9224 9.9768 90.00 90.00 90.00
With the nearest neighbours (Å) after each atom.
Sites, in units of the cell vectors:
Be 0.5000 0.5000 0.0000  4 Ge 2.35
Be 0.0000 0.5000 0.3590  3 Ge 2.29-2.41, 2 Mo 2.41
Be 0.0000 0.0000 0.0000  4 Ge 2.35
Be 0.5000 0.0000 0.6410  3 Ge 2.29-2.41, 2 Mo 2.41
Ge 0.5000 0.0000 0.8709  5 Be 2.29-2.35
Ge 0.0000 0.0000 0.5000  4 Be 2.41
Ge 0.0000 0.5000 0.1291  5 Be 2.29-2.35
Pa 0.5000 0.0000 0.2514  8 Be 2.97-3.18, 6 Ge 3.03-3.16, 2 Mo 3.16
Pa 0.0000 0.5000 0.7486  8 Be 2.97-3.18, 6 Ge 3.03-3.16, 2 Mo 3.16
Mo 0.5000 0.5000 0.5000  4 Be 2.41

***

10.
This record from Alexandria describes a geometry-optimized Te2AuCl structure. The functional is PBE.

## Properties
**Total energy**: -2.8139 eV/atom
**Symmetry**: No. 99
**Formation energy (no corrections)**: 38 meV per atom

Lattice parameters (Å, degrees): 3.7551 3.7521 9.2056 90.00 90.00 90.00
With the nearest neighbours (Å) after each atom.
Sites, in units of the cell vectors:
Te 0.5000 0.5000 0.4353  1 Cl 2.40
Te 0.0000 0.0000 0.0404  1 Au 2.65
Cl 0.5000 0.5000 0.6964  1 Te 2.40
Au 0.0000 0.0000 0.3280  5 Te 2.65-2.83

***

11.
This record from Alexandria describes a geometry-optimized ZnNiP2 structure. The functional is PBE.

## Properties
**Total energy**: -4.4034 eV/atom
**Symmetry**: No. 6

Lattice parameters (Å, degrees): 3.4150 2.5304 6.7280 79.37 90.00 90.00
With the nearest neighbours (Å) after each atom.
Sites, in units of the cell vectors:
Zn 0.0000 0.4261 0.5183  2 Zn 2.53, 5 P 2.59-2.66, 4 Ni 2.70
P 0.5000 0.0437 0.2911  2 P 2.53, 4 Zn 2.59-2.61
P 0.0000 0.2280 0.9206  4 Ni 2.35, 2 P 2.53
Ni 0.5000 0.8022 0.7700  4 P 2.35, 2 Ni 2.53

***

12.
This record from Alexandria describes a geometry-optimized SmY6Er3Tm2 structure. The functional is PBE.

## Properties
**Total energy**: -5.4862 eV/atom
**Symmetry**: No. 12

Lattice parameters (Å, degrees): 6.1368 6.1368 11.7602 94.98 94.98 119.94
With the nearest neighbours (Å) after each atom.
Sites, in units of the cell vectors:
Er 0.5000 0.5000 0.5000  6 Y 3.54, 6 Er 3.54-3.55
Er 0.8332 0.1668 0.5000  6 Y 3.53-3.54, 6 Er 3.54-3.55
Er 0.1668 0.8332 0.5000  6 Y 3.53-3.54, 6 Er 3.54-3.55
Y 0.5821 0.9160 0.7491  3 Er 3.53-3.54, 6 Y 3.54-3.55, 2 Tm 3.55, 1 Sm 3.56
Y 0.2501 0.2501 0.7492  3 Er 3.54, 6 Y 3.54-3.55, 2 Tm 3.55, 1 Sm 3.55
Y 0.7499 0.7499 0.2508  3 Er 3.54, 6 Y 3.54-3.55, 2 Tm 3.55, 1 Sm 3.55
Y 0.9160 0.5821 0.7491  3 Er 3.53-3.54, 6 Y 3.54-3.55, 2 Tm 3.55, 1 Sm 3.56
Y 0.4179 0.0840 0.2509  3 Er 3.53-3.54, 6 Y 3.54-3.55, 2 Tm 3.55, 1 Sm 3.56
Y 0.0840 0.4179 0.2509  3 Er 3.53-3.54, 6 Y 3.54-3.55, 2 Tm 3.55, 1 Sm 3.56
Tm 0.3333 0.6667 0.0000  3 Sm 3.54-3.55, 3 Tm 3.54-3.55, 6 Y 3.55
Tm 0.6667 0.3333 0.0000  3 Sm 3.54-3.55, 3 Tm 3.54-3.55, 6 Y 3.55
Sm 0.0000 0.0000 0.0000  6 Tm 3.54-3.55, 6 Y 3.55-3.56